First-principles (SCAN) data for a crystal of SbRuSe relaxed with PBEsol, as listed in Alexandria via LeMat-Bulk.

Values from the calculation:
Magnetization ... 0.003 μB/f.u.
Formation energy (no corrections) ... 868 meV per atom
Calculated total energy ... -29.85 eV per atom

Unit cell a=6.259 b=6.259 c=6.259 alpha=90.00 beta=90.00 gamma=90.00
Fractional positions:
1 Sb 0.000 0.000 0.000
2 Sb 0.000 0.500 0.500
3 Sb 0.500 0.000 0.500
4 Sb 0.500 0.500 0.000
5 Ru 0.000 0.000 0.500
6 Ru 0.000 0.500 0.000
7 Ru 0.500 0.000 0.000
8 Ru 0.500 0.500 0.500
9 Se 0.250 0.250 0.750
10 Se 0.250 0.750 0.250
11 Se 0.750 0.250 0.250
12 Se 0.750 0.750 0.750



First-principles (SCAN) data for a crystal of HfRhNF2 relaxed with PBEsol, as listed in Alexandria via LeMat-Bulk.

Values from the calculation:
Magnetization ... 0.000 μB/f.u.
Formation energy (no corrections) ... -293 meV per atom
Calculated total energy ... -22.86 eV per atom

Unit cell a=4.106 b=4.106 c=3.808 alpha=90.00 beta=90.00 gamma=90.00
Fractional positions:
1 Hf 0.000 0.000 0.000
2 Rh 0.500 0.500 0.500
3 N 0.500 0.500 0.000
4 F 0.000 0.500 0.500
5 F 0.500 0.000 0.500



First-principles (SCAN) data for a crystal of TlFe2Pt relaxed with PBEsol, as listed in Alexandria via LeMat-Bulk.

Values from the calculation:
Magnetization ... 6.062 μB/f.u.
Formation enthalpy at 0 K ... 0.13 eV/atom
Energy relative to the lowest polymorph listed for this composition ... 0.033 eV/atom
Calculated total energy ... -44.57 eV per atom

Unit cell a=3.930 b=3.930 c=7.721 alpha=90.00 beta=90.00 gamma=90.00
Fractional positions:
1 Tl 0.000 0.000 0.000
2 Tl 0.500 0.500 0.500
3 Fe 0.000 0.500 0.250
4 Fe 0.000 0.500 0.750
5 Fe 0.500 0.000 0.250
6 Fe 0.500 0.000 0.750
7 Pt 0.000 0.000 0.500
8 Pt 0.500 0.500 0.000



First-principles (SCAN) data for a crystal of ZnCrTe2 relaxed with PBEsol, as listed in Alexandria via LeMat-Bulk.

Values from the calculation:
Magnetization ... 4.064 μB/f.u.
Formation energy (no corrections) ... 66 meV per atom
Calculated total energy ... -26.53 eV per atom

Unit cell a=4.168 b=3.881 c=5.924 alpha=90.00 beta=106.03 gamma=90.00
Fractional positions:
1 Zn 0.000 0.000 0.000
2 Cr 0.500 0.000 0.500
3 Te 0.271 0.500 0.740
4 Te 0.729 0.500 0.260